Computed, not measured: TbCd11Hg after structural relaxation at the GGA-PBE level of DFT.

Unit cell a=7.643 b=7.643 c=7.636 alpha=98.84 beta=98.84 gamma=133.52
Atoms (fractional coordinates):
Tb 0.000 0.000 0.000
Cd 0.000 0.000 0.500
Cd 0.000 0.500 0.000
Cd 0.003 0.651 0.650
Cd 0.284 0.497 0.788
Cd 0.349 0.997 0.350
Cd 0.497 0.284 0.788
Cd 0.500 0.000 0.000
Cd 0.503 0.716 0.212
Cd 0.651 0.003 0.650
Cd 0.716 0.503 0.212
Cd 0.997 0.349 0.350
Hg 0.500 0.500 0.500

For the total energy, the calculation gives -15.85 eV per cell. Its space-group type is C2/m (12). For the formation energy, the calculation gives -65 meV/atom.